Computed, not measured: a relaxed structure of TmSc5Zn4 at the PBE level of DFT.

Computed properties:
- Calculated total energy: -0.16182 hartree per atom
- Total magnetization: 0.00 Bohr magnetons per cell

Cell: 3.356 3.356 18.269 Å, 90.00 90.00 90.00°
Space group P4/mmm (No. 123)
Symmetry-distinct sites (fractional):
Tm 0.000 0.000 0.000 (multiplicity 1)
Sc 0.500 0.500 0.134 (multiplicity 2)
Sc 0.500 0.500 0.317 (multiplicity 2)
Sc 0.500 0.500 0.500 (multiplicity 1)
Zn 0.000 0.000 0.225 (multiplicity 2)
Zn 0.000 0.000 0.407 (multiplicity 2)



Computed, not measured: a relaxed structure of Er2AlGe2Rh5 at the PBE level of DFT.

Computed properties:
- Calculated total energy: -0.24809 hartree per atom
- Total magnetization: 0.00 Bohr magnetons per cell

Cell: 9.728 9.728 3.530 Å, 90.00 90.00 90.00°
Space group P4/mbm (No. 127)
Symmetry-distinct sites (fractional):
Er 0.173 0.327 0.000 (multiplicity 4)
Al 0.000 0.000 0.000 (multiplicity 2)
Ge 0.126 0.626 0.000 (multiplicity 4)
Rh 0.000 0.500 0.500 (multiplicity 2)
Rh 0.067 0.795 0.500 (multiplicity 8)



Computed, not measured: a relaxed structure of Ru2Rh2W at the PBE level of DFT.

Computed properties:
- Calculated total energy: -0.32109 hartree per atom
- Total magnetization: 0.23 Bohr magnetons per cell

Cell: 4.095 2.766 6.981 Å, 90.00 90.26 90.00°
Space group P2/m (No. 10)
Symmetry-distinct sites (fractional):
Ru 0.000 0.000 0.000 (multiplicity 1)
Ru 0.500 0.500 0.000 (multiplicity 1)
Rh 0.002 0.500 0.685 (multiplicity 2)
W 0.500 0.000 0.500 (multiplicity 1)



Computed, not measured: a relaxed structure of Ba2PRh2 at the PBE level of DFT.

Computed properties:
- Offset from the most stable computed form: 302.9 meV per atom
- Calculated total energy: -0.18497 hartree per atom
- Total magnetization: 0.00 Bohr magnetons per cell

Cell: 6.818 6.818 5.003 Å, 90.00 90.00 90.00°
Space group P4/mbm (No. 127)
Symmetry-distinct sites (fractional):
Ba 0.182 0.318 0.000 (multiplicity 4)
P 0.000 0.000 0.500 (multiplicity 2)
Rh 0.146 0.646 0.500 (multiplicity 4)



Computed, not measured: a relaxed structure of NiBP at the PBE level of DFT.

Computed properties:
- Offset from the most stable computed form: 224.3 meV per atom
- Calculated total energy: -0.21663 hartree per atom
- Total magnetization: 0.00 Bohr magnetons per cell

Cell: 3.2094 3.2094 11.8599 Å, 90.00 90.00 120.00°
Space group R3m (No. 160, hexagonal axes)
Symmetry-distinct sites (fractional):
Ni 0.0000 0.0000 0.0000 (multiplicity 3)
B 0.0000 0.0000 0.5717 (multiplicity 3)
P 0.0000 0.0000 0.1866 (multiplicity 3)



Computed, not measured: a relaxed structure of Dy4Cd2N at the PBE level of DFT.

Computed properties:
- Calculated total energy: -0.17088 hartree per atom
- Total magnetization: 0.00 Bohr magnetons per cell
- Uncorrected formation energy: -569.3 meV/atom

Cell: 4.841 4.841 14.944 Å, 90.00 90.00 90.00°
Space group I4/mmm (No. 139)
Symmetry-distinct sites (fractional):
Dy 0.000 0.000 0.163 (multiplicity 4)
Dy 0.000 0.500 0.000 (multiplicity 4)
Cd 0.000 0.000 0.368 (multiplicity 4)
N 0.000 0.000 0.000 (multiplicity 2)



Computed, not measured: a relaxed structure of SrNdAgGe at the PBE level of DFT.

Computed properties:
- Calculated total energy: -0.14476 hartree per atom
- Total magnetization: 0.00 Bohr magnetons per cell

Cell: 7.567 7.567 7.567 Å, 90.00 90.00 90.00°
Space group F-43m (No. 216)
Symmetry-distinct sites (fractional):
Sr 0.000 0.000 0.000 (multiplicity 4)
Nd 0.000 0.000 0.500 (multiplicity 4)
Ag 0.250 0.250 0.250 (multiplicity 4)
Ge 0.250 0.250 0.750 (multiplicity 4)



Computed, not measured: a relaxed structure of Zn2SbTeO8 at the PBE level of DFT.

Computed properties:
- Calculated total energy: -0.18437 hartree per atom
- Total magnetization: 0.41 Bohr magnetons per cell
- Uncorrected formation energy: -893.8 meV/atom

Cell: 6.358 6.358 7.011 Å, 90.00 90.00 90.00°
Space group I-4m2 (No. 119)
Symmetry-distinct sites (fractional):
Zn 0.000 0.000 0.000 (multiplicity 2)
Zn 0.000 0.500 0.250 (multiplicity 2)
Sb 0.000 0.500 0.750 (multiplicity 2)
Te 0.000 0.000 0.500 (multiplicity 2)
O 0.000 0.189 0.786 (multiplicity 8)
O 0.000 0.305 0.459 (multiplicity 8)



Computed, not measured: a relaxed structure of Pr2Ga5Cu3 at the PBE level of DFT.

Computed properties:
- Offset from the most stable computed form: 0.0 meV per atom
- Calculated total energy: -0.15431 hartree per atom
- Total magnetization: 0.00 Bohr magnetons per cell

Cell: 11.873 12.064 6.025 Å, 90.00 120.49 90.00°
Space group C2/c (No. 15)
Symmetry-distinct sites (fractional):
Pr 0.241 0.129 0.241 (multiplicity 8)
Ga 0.000 0.000 0.250 (multiplicity 4)
Ga 0.000 0.261 0.750 (multiplicity 4)
Ga 0.000 0.262 0.250 (multiplicity 4)
Ga 0.147 0.389 0.146 (multiplicity 8)
Cu 0.000 0.500 0.250 (multiplicity 4)
Cu 0.117 0.130 0.616 (multiplicity 8)



Computed, not measured: a relaxed structure of Rb2TlCd4Pb3 at the PBE level of DFT.

Computed properties:
- Calculated total energy: -0.07289 hartree per atom
- Total magnetization: 0.00 Bohr magnetons per cell

Cell: 5.128 5.128 12.796 Å, 90.00 90.00 90.00°
Space group P-4m2 (No. 115)
Symmetry-distinct sites (fractional):
Rb 0.000 0.500 0.246 (multiplicity 2)
Tl 0.000 0.000 0.500 (multiplicity 1)
Cd 0.000 0.000 0.000 (multiplicity 1)
Cd 0.000 0.500 0.636 (multiplicity 2)
Cd 0.500 0.500 0.000 (multiplicity 1)
Pb 0.000 0.500 0.870 (multiplicity 2)
Pb 0.500 0.500 0.500 (multiplicity 1)



Computed, not measured: a relaxed structure of BaCaHgPt at the PBE level of DFT.

Computed properties:
- Calculated total energy: -0.11432 hartree per atom
- Total magnetization: 0.00 Bohr magnetons per cell

Cell: 7.704 7.704 7.704 Å, 90.00 90.00 90.00°
Space group F-43m (No. 216)
Symmetry-distinct sites (fractional):
Ba 0.000 0.000 0.000 (multiplicity 4)
Ca 0.000 0.000 0.500 (multiplicity 4)
Hg 0.250 0.250 0.750 (multiplicity 4)
Pt 0.250 0.250 0.250 (multiplicity 4)



Computed, not measured: a relaxed structure of Li3Ce3HoS8 at the PBE level of DFT.

Computed properties:
- Calculated total energy: -0.21480 hartree per atom
- Total magnetization: 6.04 Bohr magnetons per cell
- Uncorrected formation energy: -1769.1 meV/atom

Cell: 8.0906 8.0906 18.3173 Å, 90.00 90.00 120.00°
Space group R-3m (No. 166, hexagonal axes)
Symmetry-distinct sites (fractional):
Li 0.0000 0.5000 0.0000 (multiplicity 9)
Ce 0.0000 0.5000 0.5000 (multiplicity 9)
Ho 0.0000 0.0000 0.5000 (multiplicity 3)
S 0.0000 0.0000 0.2519 (multiplicity 6)
S 0.0085 0.5042 0.2482 (multiplicity 18)



Computed, not measured: a relaxed structure of RuI at the PBE level of DFT.

Computed properties:
- Offset from the most stable computed form: 346.0 meV per atom
- Calculated total energy: -0.17766 hartree per atom
- Total magnetization: 0.00 Bohr magnetons per cell
- Uncorrected formation energy: 578.6 meV/atom

Cell: 11.036 11.036 3.880 Å, 90.00 90.00 90.00°
Space group I4/m (No. 87)
Symmetry-distinct sites (fractional):
Ru 0.197 0.288 0.000 (multiplicity 8)
I 0.023 0.254 0.500 (multiplicity 8)



Computed, not measured: a relaxed structure of CuIr2 at the PBE level of DFT.

Computed properties:
- Offset from the most stable computed form: 114.4 meV per atom
- Calculated total energy: -0.26084 hartree per atom
- Total magnetization: 0.00 Bohr magnetons per cell

Cell: 5.415 3.800 8.110 Å, 90.00 90.00 90.00°
Space group Pnma (No. 62)
Symmetry-distinct sites (fractional):
Cu 0.113 0.250 0.080 (multiplicity 4)
Ir 0.121 0.250 0.416 (multiplicity 4)
Ir 0.136 0.250 0.742 (multiplicity 4)



Computed, not measured: a relaxed structure of Na2TlGaI4 at the PBE level of DFT.

Computed properties:
- Calculated total energy: -0.09727 hartree per atom
- Total magnetization: 0.00 Bohr magnetons per cell
- Uncorrected formation energy: -867.9 meV/atom

Cell: 8.196 4.718 8.291 Å, 90.00 109.13 90.00°
Space group P2/m (No. 10)
Symmetry-distinct sites (fractional):
Na 0.000 0.000 0.000 (multiplicity 1)
Na 0.500 0.500 0.000 (multiplicity 1)
Tl 0.000 0.500 0.500 (multiplicity 1)
Ga 0.500 0.000 0.500 (multiplicity 1)
I 0.254 0.500 0.236 (multiplicity 2)
I 0.266 0.000 0.770 (multiplicity 2)



Computed, not measured: a relaxed structure of TbThPd4 at the PBE level of DFT.

Computed properties:
- Offset from the most stable computed form: 61.8 meV per atom
- Calculated total energy: -0.22853 hartree per atom
- Total magnetization: 0.00 Bohr magnetons per cell

Cell: 7.778 7.778 7.778 Å, 90.00 90.00 90.00°
Space group F-43m (No. 216)
Symmetry-distinct sites (fractional):
Tb 0.000 0.000 0.000 (multiplicity 4)
Th 0.250 0.250 0.750 (multiplicity 4)
Pd 0.125 0.125 0.375 (multiplicity 16)



Computed, not measured: a relaxed structure of Y2UIn3Te6 at the PBE level of DFT.

Computed properties:
- Calculated total energy: -0.18620 hartree per atom
- Total magnetization: 6.04 Bohr magnetons per cell
- Uncorrected formation energy: -793.3 meV/atom

Cell: 7.641 13.230 8.559 Å, 90.00 107.31 90.00°
Space group C2/m (No. 12)
Symmetry-distinct sites (fractional):
Y 0.000 0.167 0.000 (multiplicity 4)
U 0.000 0.500 0.000 (multiplicity 2)
In 0.000 0.000 0.500 (multiplicity 2)
In 0.000 0.334 0.500 (multiplicity 4)
Te 0.237 0.000 0.220 (multiplicity 4)
Te 0.242 0.332 0.221 (multiplicity 8)



Computed, not measured: a relaxed structure of Tb2Sm3Th6 at the PBE level of DFT.

Computed properties:
- Calculated total energy: -0.22548 hartree per atom
- Total magnetization: 0.00 Bohr magnetons per cell

Cell: 3.5885 3.5885 96.1151 Å, 90.00 90.00 120.00°
Space group R-3m (No. 166, hexagonal axes)
Symmetry-distinct sites (fractional):
Tb 0.0000 0.0000 0.0454 (multiplicity 6)
Sm 0.0000 0.0000 0.2275 (multiplicity 6)
Sm 0.0000 0.0000 0.5000 (multiplicity 3)
Th 0.0000 0.0000 0.1362 (multiplicity 6)
Th 0.0000 0.0000 0.3186 (multiplicity 6)
Th 0.0000 0.0000 0.4087 (multiplicity 6)



Computed, not measured: a relaxed structure of DySn2As2Pd7 at the PBE level of DFT.

Computed properties:
- Calculated total energy: -0.19568 hartree per atom
- Total magnetization: 0.00 Bohr magnetons per cell

Cell: 5.971 5.914 12.694 Å, 90.00 96.08 90.00°
Space group C2/m (No. 12)
Symmetry-distinct sites (fractional):
Dy 0.000 0.000 0.000 (multiplicity 2)
Sn 0.069 0.000 0.338 (multiplicity 4)
As 0.060 0.500 0.279 (multiplicity 4)
Pd 0.000 0.500 0.000 (multiplicity 2)
Pd 0.215 0.248 0.836 (multiplicity 8)
Pd 0.222 0.500 0.469 (multiplicity 4)



Computed, not measured: a relaxed structure of BeZn2 at the PBE level of DFT.

Computed properties:
- Calculated total energy: -0.06476 hartree per atom
- Total magnetization: 0.00 Bohr magnetons per cell

Cell: 5.890 6.178 2.488 Å, 90.00 90.00 90.00°
Space group Pnnm (No. 58)
Symmetry-distinct sites (fractional):
Be 0.000 0.000 0.000 (multiplicity 2)
Zn 0.234 0.306 0.000 (multiplicity 4)



Computed, not measured: a relaxed structure of Li2Mg4Pb5 at the PBE level of DFT.

Computed properties:
- Calculated total energy: -0.09880 hartree per atom
- Total magnetization: 0.00 Bohr magnetons per cell

Cell: 22.584 3.489 7.227 Å, 90.00 92.87 90.00°
Space group C2/m (No. 12)
Symmetry-distinct sites (fractional):
Li 0.081 0.000 0.183 (multiplicity 4)
Mg 0.041 0.500 0.838 (multiplicity 4)
Mg 0.232 0.000 0.310 (multiplicity 4)
Pb 0.000 0.000 0.500 (multiplicity 2)
Pb 0.137 0.500 0.518 (multiplicity 4)
Pb 0.171 0.500 0.983 (multiplicity 4)



Computed, not measured: a relaxed structure of Fe2Sn2Pt at the PBE level of DFT.

Computed properties:
- Calculated total energy: -0.22426 hartree per atom
- Total magnetization: 8.72 Bohr magnetons per cell

Cell: 6.902 6.902 3.527 Å, 90.00 90.00 90.00°
Space group P4/mbm (No. 127)
Symmetry-distinct sites (fractional):
Fe 0.119 0.381 0.000 (multiplicity 4)
Sn 0.178 0.678 0.500 (multiplicity 4)
Pt 0.000 0.000 0.000 (multiplicity 2)